Entry 1:
## RbCaY2Tc (PBE)

Data for an optimized crystal structure of RbCaY2Tc.

Output
DOS(E_F): 6.70 states/eV/cell
calculated formation energy: 593.9 meV/atom

Unit cell a=5.3859 b=5.3859 c=6.3850 alpha=90.00 beta=90.00 gamma=90.00
Positions (direct):
Rb 0.0000 0.0000 0.0000
Ca 0.5000 0.5000 0.0000
Y 0.0000 0.5000 0.5000
Y 0.5000 0.0000 0.5000
Tc 0.0000 0.0000 0.5000


Entry 2:
## RbCa2Te2 (PBE)

Data for an optimized crystal structure of RbCa2Te2.

Output
energy above the most stable polymorph in this dataset: 11 meV per atom
DOS(E_F): 2.56 states/eV/cell
formation energy from raw total energies: -5.5 eV/f.u.

Unit cell a=7.3413 b=7.3413 c=7.3413 alpha=132.01 beta=132.01 gamma=70.21
Positions (direct):
Rb 0.0000 0.0000 0.0000
Ca 0.3282 0.3282 0.0000
Ca 0.6718 0.6718 0.0000
Te 0.2500 0.7500 0.5000
Te 0.7500 0.2500 0.5000


Entry 3:
## RbCa3Te (PBE)

Data for an optimized crystal structure of RbCa3Te.

Output
energy above the most stable polymorph in this dataset: 1143 meV per atom
DOS(E_F): 5.69 states/eV/cell
formation energy from raw total energies: 4.2 eV/f.u.

Unit cell a=6.1574 b=6.1574 c=6.1574 alpha=90.00 beta=90.00 gamma=90.00
Positions (direct):
Rb 0.0000 0.0000 0.0000
Ca 0.0000 0.0000 0.5000
Ca 0.0000 0.5000 0.0000
Ca 0.5000 0.0000 0.0000
Te 0.5000 0.5000 0.5000


Entry 4:
## Rb2CaTe (PBE)

Data for an optimized crystal structure of Rb2CaTe.

Output
DOS(E_F): 5.07 states/eV/cell
formation energy from raw total energies: -2.0 eV/f.u.

Unit cell a=9.8857 b=9.8857 c=9.8857 alpha=95.35 beta=95.35 gamma=144.44
Positions (direct):
Rb 0.3750 0.0187 0.1437
Rb 0.7687 0.6250 0.6437
Rb 0.8750 0.2313 0.8563
Rb 0.9813 0.1250 0.3563
Ca 0.2500 0.7500 0.5000
Ca 0.5000 0.5000 0.0000
Te 0.0000 0.0000 0.0000
Te 0.7500 0.2500 0.5000


Entry 5:
## Rb2Ca2Te (PBE)

Data for an optimized crystal structure of Rb2Ca2Te.

Output
DOS(E_F): 7.56 states/eV/cell
formation energy from raw total energies: -1.8 eV/f.u.

Unit cell a=8.3884 b=8.3884 c=7.5418 alpha=90.00 beta=90.00 gamma=90.00
Positions (direct):
Rb 0.1765 0.3235 0.0000
Rb 0.3235 0.8235 0.0000
Rb 0.6765 0.1765 0.0000
Rb 0.8235 0.6765 0.0000
Ca 0.1635 0.6635 0.5000
Ca 0.3365 0.1635 0.5000
Ca 0.6635 0.8365 0.5000
Ca 0.8365 0.3365 0.5000
Te 0.0000 0.0000 0.5000
Te 0.5000 0.5000 0.5000


Entry 6:
## RbCa2Te2 (PBE)

Data for an optimized crystal structure of RbCa2Te2.

Output
energy above the most stable polymorph in this dataset: 73 meV per atom
DOS(E_F): 3.23 states/eV/cell
formation energy from raw total energies: -5.2 eV/f.u.

Unit cell a=9.1236 b=9.1236 c=4.1971 alpha=90.00 beta=90.00 gamma=90.00
Positions (direct):
Rb 0.0000 0.0000 0.0000
Rb 0.5000 0.5000 0.0000
Ca 0.1444 0.3556 0.5000
Ca 0.3556 0.8556 0.5000
Ca 0.6444 0.1444 0.5000
Ca 0.8556 0.6444 0.5000
Te 0.1494 0.6494 0.0000
Te 0.3506 0.1494 0.0000
Te 0.6494 0.8506 0.0000
Te 0.8506 0.3506 0.0000


Entry 7:
## RbCa3Te (PBE)

Data for an optimized crystal structure of RbCa3Te.

Output
energy above the most stable polymorph in this dataset: 0 meV per atom
DOS(E_F): 3.60 states/eV/cell
formation energy from raw total energies: -1.5 eV/f.u.

Unit cell a=6.2539 b=6.2539 c=6.2539 alpha=90.00 beta=90.00 gamma=90.00
Positions (direct):
Rb 0.0000 0.0000 0.0000
Ca 0.0000 0.5000 0.5000
Ca 0.5000 0.0000 0.5000
Ca 0.5000 0.5000 0.0000
Te 0.5000 0.5000 0.5000


Entry 8:
## RbCa2Te2 (PBE)

Data for an optimized crystal structure of RbCa2Te2.

Output
energy above the most stable polymorph in this dataset: 0 meV per atom
DOS(E_F): 2.91 states/eV/cell
formation energy from raw total energies: -5.5 eV/f.u.

Unit cell a=8.6701 b=8.6701 c=8.6701 alpha=145.13 beta=145.13 gamma=50.14
Positions (direct):
Rb 0.0000 0.0000 0.0000
Ca 0.2500 0.7500 0.5000
Ca 0.7500 0.2500 0.5000
Te 0.3610 0.3610 0.0000
Te 0.6390 0.6390 0.0000


Entry 9:
## Rb3CaTe (PBE)

Data for an optimized crystal structure of Rb3CaTe.

Output
energy above the most stable polymorph in this dataset: 0 meV per atom
DOS(E_F): 5.45 states/eV/cell
formation energy from raw total energies: -1.4 eV/f.u.

Unit cell a=7.0725 b=7.0725 c=7.0725 alpha=90.00 beta=90.00 gamma=90.00
Positions (direct):
Rb 0.0000 0.0000 0.5000
Rb 0.0000 0.5000 0.0000
Rb 0.5000 0.0000 0.0000
Ca 0.5000 0.5000 0.5000
Te 0.0000 0.0000 0.0000


Entry 10:
## Rb2CaThTe4 (PBE)

Data for an optimized crystal structure of Rb2CaThTe4.

Output
formation energy from raw total energies: -10.7 eV/f.u.

Unit cell a=8.0322 b=4.6792 c=8.9537 alpha=90.00 beta=107.45 gamma=90.00
Positions (direct):
Rb 0.0000 0.0000 0.0000
Rb 0.5000 0.5000 0.0000
Ca 0.0000 0.5000 0.5000
Th 0.5000 0.0000 0.5000
Te 0.2430 0.0000 0.7015
Te 0.2725 0.5000 0.2968
Te 0.7275 0.5000 0.7032
Te 0.7570 0.0000 0.2985


Entry 11:
## Rb3CaU2Te6 (PBE)

Data for an optimized crystal structure of Rb3CaU2Te6.

Output
DOS(E_F): 16.59 states/eV/cell
formation energy from raw total energies: -12.4 eV/f.u.

Unit cell a=7.9608 b=7.9608 c=8.9411 alpha=98.53 beta=98.53 gamma=120.00
Positions (direct):
Rb 0.0000 0.0000 0.0000
Rb 0.3367 0.6633 0.0000
Rb 0.6633 0.3367 0.0000
Ca 0.5000 0.5000 0.5000
U 0.1671 0.8329 0.5000
U 0.8329 0.1671 0.5000
Te 0.0896 0.4328 0.2990
Te 0.2234 0.2234 0.6998
Te 0.4328 0.0896 0.2990
Te 0.5672 0.9104 0.7010
Te 0.7766 0.7766 0.3002
Te 0.9104 0.5672 0.7010


Entry 12:
## RbCa3Ti (PBE)

Data for an optimized crystal structure of RbCa3Ti.

Output
energy above the most stable polymorph in this dataset: 0 meV per atom
DOS(E_F): 18.95 states/eV/cell
calculated formation energy: 600.9 meV/atom

Unit cell a=6.2005 b=6.2005 c=6.2005 alpha=90.00 beta=90.00 gamma=90.00
Positions (direct):
Rb 0.0000 0.0000 0.0000
Ca 0.0000 0.5000 0.5000
Ca 0.5000 0.0000 0.5000
Ca 0.5000 0.5000 0.0000
Ti 0.5000 0.5000 0.5000